*A*
VASP calculation (GGA-PBE) on crystalline Tm3Ge3Rh2 at its relaxed geometry.

CIF file:
```
data_Tm3Ge3Rh2
_space_group_name_H-M_alt 'P 1'
_space_group_IT_number 1
_cell_length_a 5.5773
_cell_length_b 8.0960
_cell_length_c 14.0691
_cell_angle_alpha 90.00
_cell_angle_beta 90.00
_cell_angle_gamma 90.00
loop_
_space_group_symop_operation_xyz
'x,y,z'
loop_
_atom_site_label
_atom_site_fract_x
_atom_site_fract_y
_atom_site_fract_z
Ge1 0.1165 0.1696 0.2500
Ge2 0.6226 0.2959 0.4631
Ge3 0.6165 0.3304 0.7500
Ge4 0.3774 0.7041 0.5369
Ge5 0.8835 0.8304 0.7500
Ge6 0.1226 0.2041 0.9631
Ge7 0.8774 0.7959 0.4631
Ge8 0.3835 0.6696 0.2500
Ge9 0.8774 0.7959 0.0369
Ge10 0.6226 0.2959 0.0369
Ge11 0.1226 0.2041 0.5369
Ge12 0.3774 0.7041 0.9631
Rh1 0.3822 0.4249 0.9009
Rh2 0.3822 0.4249 0.5991
Rh3 0.6178 0.5751 0.0991
Rh4 0.8822 0.0751 0.0991
Rh5 0.8822 0.0751 0.4009
Rh6 0.6178 0.5751 0.4009
Rh7 0.1178 0.9249 0.9009
Rh8 0.1178 0.9249 0.5991
Tm1 0.8798 0.5408 0.6130
Tm2 0.1202 0.4592 0.3870
Tm3 0.1202 0.4592 0.1130
Tm4 0.6202 0.0408 0.8870
Tm5 0.3663 0.6890 0.7500
Tm6 0.8663 0.8110 0.2500
Tm7 0.6202 0.0408 0.6130
Tm8 0.6337 0.3110 0.2500
Tm9 0.1337 0.1890 0.7500
Tm10 0.3798 0.9592 0.3870
Tm11 0.3798 0.9592 0.1130
Tm12 0.8798 0.5408 0.8870
```

Calculated volume ... 635 Å³ per cell
Space-group type ... Pnma (62)

*B*
VASP calculation (GGA-PBE) on crystalline Tm3Ge3Rh2 at its relaxed geometry.

CIF file:
```
data_Tm3Ge3Rh2
_space_group_name_H-M_alt 'P 1'
_space_group_IT_number 1
_cell_length_a 4.2829
_cell_length_b 5.6205
_cell_length_c 14.0706
_cell_angle_alpha 90.00
_cell_angle_beta 90.00
_cell_angle_gamma 112.40
loop_
_space_group_symop_operation_xyz
'x,y,z'
loop_
_atom_site_label
_atom_site_fract_x
_atom_site_fract_y
_atom_site_fract_z
Tm1 0.0826 0.1651 0.8896
Tm2 0.3550 0.7100 0.7500
Tm3 0.9174 0.8349 0.1104
Tm4 0.0826 0.1651 0.6104
Tm5 0.6450 0.2900 0.2500
Tm6 0.9174 0.8349 0.3896
Rh1 0.7968 0.5935 0.5996
Rh2 0.7968 0.5935 0.9004
Rh3 0.2032 0.4065 0.0996
Rh4 0.2032 0.4065 0.4004
Ge1 0.6518 0.3036 0.7500
Ge2 0.3814 0.7628 0.9628
Ge3 0.3482 0.6964 0.2500
Ge4 0.3814 0.7628 0.5372
Ge5 0.6186 0.2372 0.4628
Ge6 0.6186 0.2372 0.0372
```

Calculated volume ... 313 Å³ per cell
Space-group type ... Cmcm (63)

The relative energies come out as *A* 0.050; *B* 0.000, with values in eV/atom.

*A*
VASP calculation (GGA-PBE) on crystalline V3GeRh at its relaxed geometry.

CIF file:
```
data_V3GeRh
_space_group_name_H-M_alt 'P 1'
_space_group_IT_number 1
_cell_length_a 4.4215
_cell_length_b 4.4215
_cell_length_c 4.4215
_cell_angle_alpha 90.00
_cell_angle_beta 90.00
_cell_angle_gamma 90.00
loop_
_space_group_symop_operation_xyz
'x,y,z'
loop_
_atom_site_label
_atom_site_fract_x
_atom_site_fract_y
_atom_site_fract_z
V1 0.0000 0.5000 0.0000
V2 0.0000 0.0000 0.5000
V3 0.5000 0.0000 0.0000
Ge1 0.0000 0.0000 0.0000
Rh1 0.5000 0.5000 0.5000
```

Calculated volume ... 86 Å³ per cell
Space-group type ... Pm-3m (221)

*B*
VASP calculation (GGA-PBE) on crystalline V3GeRh at its relaxed geometry.

CIF file:
```
data_V3GeRh
_space_group_name_H-M_alt 'P 1'
_space_group_IT_number 1
_cell_length_a 2.7377
_cell_length_b 6.5244
_cell_length_c 8.8283
_cell_angle_alpha 112.21
_cell_angle_beta 98.91
_cell_angle_gamma 101.45
loop_
_space_group_symop_operation_xyz
'x,y,z'
loop_
_atom_site_label
_atom_site_fract_x
_atom_site_fract_y
_atom_site_fract_z
V1 0.9254 0.0615 0.1491
V2 0.4899 0.5430 0.6543
V3 0.3760 0.6639 0.9508
V4 0.6240 0.3361 0.0492
V5 0.0746 0.9385 0.8509
V6 0.5101 0.4570 0.3457
Rh1 0.2255 0.8340 0.5558
Rh2 0.7745 0.1660 0.4442
Ge1 0.8306 0.2495 0.7577
Ge2 0.1694 0.7505 0.2423
```

Calculated volume ... 138 Å³ per cell
Space-group type ... P-1 (2)

The relative energies come out as *A* 1.265; *B* 0.000, with values in eV/atom.

*A*
VASP calculation (GGA-PBE) on crystalline V2Ge2Rh at its relaxed geometry.

CIF file:
```
data_V2Ge2Rh
_space_group_name_H-M_alt 'P 1'
_space_group_IT_number 1
_cell_length_a 6.3870
_cell_length_b 6.3870
_cell_length_c 3.5535
_cell_angle_alpha 90.00
_cell_angle_beta 90.00
_cell_angle_gamma 90.00
loop_
_space_group_symop_operation_xyz
'x,y,z'
loop_
_atom_site_label
_atom_site_fract_x
_atom_site_fract_y
_atom_site_fract_z
V1 0.8364 0.3364 0.5000
V2 0.3364 0.1636 0.5000
V3 0.1636 0.6636 0.5000
V4 0.6636 0.8364 0.5000
Ge1 0.3617 0.8617 0.0000
Ge2 0.1383 0.3617 0.0000
Ge3 0.8617 0.6383 0.0000
Ge4 0.6383 0.1383 0.0000
Rh1 0.0000 0.0000 0.0000
Rh2 0.5000 0.5000 0.0000
```

Calculated volume ... 145 Å³ per cell
Space-group type ... P4/mbm (127)

*B*
VASP calculation (GGA-PBE) on crystalline V2Ge2Rh at its relaxed geometry.

CIF file:
```
data_V2Ge2Rh
_space_group_name_H-M_alt 'P 1'
_space_group_IT_number 1
_cell_length_a 4.2628
_cell_length_b 5.7562
_cell_length_c 6.6057
_cell_angle_alpha 90.00
_cell_angle_beta 108.82
_cell_angle_gamma 90.00
loop_
_space_group_symop_operation_xyz
'x,y,z'
loop_
_atom_site_label
_atom_site_fract_x
_atom_site_fract_y
_atom_site_fract_z
Rh1 0.3492 0.1286 0.6984
Rh2 0.6508 0.6286 0.3016
Ge1 0.8162 0.8971 0.6325
Ge2 0.1838 0.3971 0.3675
Ge3 0.5478 0.9918 0.0956
Ge4 0.4522 0.4918 0.9044
V1 0.8337 0.4321 0.6675
V2 0.0015 0.1847 0.0029
V3 0.1663 0.9321 0.3325
V4 0.9985 0.6847 0.9971
```

Calculated volume ... 153 Å³ per cell
Space-group type ... Cmc2_1 (36)

The relative energies come out as *A* 0.050; *B* 0.000, with values in eV/atom.

*A*
VASP calculation (GGA-PBE) on crystalline YGeRh3 at its relaxed geometry.

CIF file:
```
data_YGeRh3
_space_group_name_H-M_alt 'P 1'
_space_group_IT_number 1
_cell_length_a 5.4459
_cell_length_b 8.5348
_cell_length_c 6.3200
_cell_angle_alpha 132.47
_cell_angle_beta 115.52
_cell_angle_gamma 90.00
loop_
_space_group_symop_operation_xyz
'x,y,z'
loop_
_atom_site_label
_atom_site_fract_x
_atom_site_fract_y
_atom_site_fract_z
Ge1 0.0000 0.5000 0.0000
Ge2 0.5000 0.0000 0.0000
Rh1 0.7997 0.2997 0.0993
Rh2 0.7500 0.0665 0.5000
Rh3 0.2997 0.2997 0.0993
Rh4 0.2003 0.7003 0.9007
Rh5 0.2500 0.9335 0.5000
Rh6 0.7003 0.7003 0.9007
Y1 0.2500 0.2565 0.5000
Y2 0.7500 0.7435 0.5000
```

Calculated volume ... 176 Å³ per cell
Space-group type ... Imma (74)

*B*
VASP calculation (GGA-PBE) on crystalline YGeRh3 at its relaxed geometry.

CIF file:
```
data_YGeRh3
_space_group_name_H-M_alt 'P 1'
_space_group_IT_number 1
_cell_length_a 4.8768
_cell_length_b 4.8768
_cell_length_c 4.8768
_cell_angle_alpha 90.00
_cell_angle_beta 90.00
_cell_angle_gamma 90.00
loop_
_space_group_symop_operation_xyz
'x,y,z'
loop_
_atom_site_label
_atom_site_fract_x
_atom_site_fract_y
_atom_site_fract_z
Y1 0.0000 0.0000 0.0000
Rh1 0.5000 0.0000 0.0000
Rh2 0.0000 0.0000 0.5000
Rh3 0.0000 0.5000 0.0000
Ge1 0.5000 0.5000 0.5000
```

Calculated volume ... 116 Å³ per cell
Space-group type ... Pm-3m (221)

The relative energies come out as *A* 0.000; *B* 1.759, with values in eV/atom.